(1)
Material: RbTaCd
Method: DFT, GGA-PBE
State: optimized geometry

Properties
- Raw total energy: -9.77 eV per formula unit
- Polymorph energy (0 for the lowest one): 89.8 kJ/mol of atoms
- Symmetry: P-6m2 (187)
- Energy of formation: 4.0 eV per formula unit
- Crystal system: hexagonal

abc: 5.701 5.701 2.902
angles: 90.00 90.00 120.00
Positions (direct):
Rb (0.000, 0.000, 0.000)
Ta (0.667, 0.333, 0.500)
Cd (0.333, 0.667, 0.500)


(2)
Material: CsBaZn2
Method: DFT, GGA-PBE
State: optimized geometry

Properties
- Raw total energy: -4.24 eV per formula unit
- Polymorph energy (0 for the lowest one): 13.5 kJ/mol of atoms
- Symmetry: I-42d (122)
- Energy of formation: 1.1 eV per formula unit
- Crystal system: tetragonal

abc: 9.423 9.423 8.257
angles: 90.00 90.00 90.00
Positions (direct):
Cs (0.000, 0.000, 0.000)
Cs (0.000, 0.500, 0.250)
Cs (0.500, 0.000, 0.750)
Cs (0.500, 0.500, 0.500)
Ba (0.000, 0.000, 0.500)
Ba (0.000, 0.500, 0.750)
Ba (0.500, 0.000, 0.250)
Ba (0.500, 0.500, 0.000)
Zn (0.228, 0.250, 0.625)
Zn (0.250, 0.728, 0.875)
Zn (0.250, 0.772, 0.375)
Zn (0.272, 0.250, 0.125)
Zn (0.728, 0.750, 0.125)
Zn (0.750, 0.228, 0.375)
Zn (0.750, 0.272, 0.875)
Zn (0.772, 0.750, 0.625)